# 1
Compound: CdCu2Os
Source: Alexandria
Functional: PBE
Structure: relaxed

POSCAR file:
```
CdCu2Os
1.0
5.3436 0.0051 0.0110
2.6665 4.6308 -0.0110
-3.3644 -3.4249 2.3464
Cu Cd Os
2 1 1
direct
0.7589 0.2589 0.5000 Cu
0.9865 0.9865 0.0000 Cu
0.2395 0.7395 0.5000 Cd
0.5152 0.5152 0.0000 Os
```

Size of the total moment ... 0.0000 μB/atom
SG ... Imm2 (44)
Total DFT energy (no corrections) ... -4.691 eV per atom
ΔH_f (0 K) ... 0.3934 eV per atom



# 2
Compound: CdCuOs4
Source: Alexandria
Functional: PBE
Structure: relaxed

POSCAR file:
```
CdCuOs4
1.0
2.3929 4.1202 2.0592
-1.8890 2.2202 4.2948
2.5517 -0.4597 4.4967
Os Cd Cu
4 1 1
direct
0.3747 0.3747 0.8758 Os
0.3747 0.8758 0.3747 Os
0.3747 0.3747 0.3747 Os
0.8758 0.3747 0.3747 Os
0.7500 0.7500 0.7500 Cd
0.0000 0.0000 0.0000 Cu
```

Size of the total moment ... 0.0002 μB/atom
SG ... F-43m (216)
Total DFT energy (no corrections) ... -7.479 eV per atom
ΔH_f (0 K) ... 0.8428 eV per atom



# 3
Compound: CdCu2Os
Source: Alexandria
Functional: PBE
Structure: relaxed

POSCAR file:
```
CdCu2Os
1.0
2.6991 -0.0423 0.0000
-1.1742 2.4306 0.0000
0.0000 0.0000 9.1327
Cu Cd Os
2 1 1
direct
0.0000 0.0000 0.0198 Cu
0.5000 0.5000 0.2420 Cu
0.5000 0.5000 0.7594 Cd
0.0000 0.0000 0.4788 Os
```

Size of the total moment ... 0.0000 μB/atom
SG ... Cmm2 (35)
Total DFT energy (no corrections) ... -4.686 eV per atom
ΔH_f (0 K) ... 0.3983 eV per atom



# 4
Compound: CdCu2Os
Source: Alexandria
Functional: PBE
Structure: relaxed

POSCAR file:
```
CdCu2Os
1.0
3.8961 0.0000 0.0000
0.0000 2.6636 0.0531
0.0000 2.5704 5.7287
Cu Cd Os
2 1 1
direct
0.0000 0.5279 0.4725 Cu
0.0000 0.9721 0.0275 Cu
0.5000 0.7500 0.7500 Cd
0.5000 0.2500 0.2500 Os
```

Size of the total moment ... 0.0000 μB/atom
SG ... P2/m (10)
Total DFT energy (no corrections) ... -4.706 eV per atom
ΔH_f (0 K) ... 0.3785 eV per atom



# 5
Compound: CdCu2Os
Source: Alexandria
Functional: PBE
Structure: relaxed

POSCAR file:
```
CdCu2Os
1.0
-0.1601 -4.6561 0.1215
0.5269 -3.9768 -2.3721
4.8908 -0.9036 1.1012
Cd Cu Os
1 2 1
direct
0.7500 0.7500 0.7500 Cd
0.9942 0.9942 0.0363 Cu
0.5058 0.5058 0.4637 Cu
0.2500 0.2500 0.2500 Os
```

Size of the total moment ... 0.0000 μB/atom
SG ... C2/m (12)
Total DFT energy (no corrections) ... -4.674 eV per atom
ΔH_f (0 K) ... 0.4106 eV per atom



# 6
Compound: CdCu2Os
Source: Alexandria
Functional: PBE
Structure: relaxed

POSCAR file:
```
CdCu2Os
1.0
-2.9270 3.5964 -1.5094
-3.1865 1.4424 3.3979
4.8245 -0.7077 -0.0555
Cu Cd Os
2 1 1
direct
0.0000 0.0000 0.0000 Cu
0.2500 0.7500 0.5000 Cu
0.7500 0.2500 0.5000 Cd
0.5000 0.5000 0.0000 Os
```

Size of the total moment ... 0.0001 μB/atom
SG ... I-4m2 (119)
Total DFT energy (no corrections) ... -4.541 eV per atom
ΔH_f (0 K) ... 0.5436 eV per atom



# 7
Compound: CdCu2Os
Source: Alexandria
Functional: PBE
Structure: relaxed

POSCAR file:
```
CdCu2Os
1.0
2.7223 0.0000 0.0000
0.0000 2.7223 0.0000
0.0000 0.0000 7.9022
Cu Os Cd
2 1 1
direct
0.0000 0.0000 0.0184 Cu
0.0000 0.0000 0.4816 Cu
0.5000 0.5000 0.2500 Os
0.5000 0.5000 0.7500 Cd
```

Size of the total moment ... 0.0687 μB/atom
SG ... P4/mmm (123)
Total DFT energy (no corrections) ... -4.739 eV per atom
ΔH_f (0 K) ... 0.3455 eV per atom



# 8
Compound: CdCu2Os
Source: Alexandria
Functional: PBE
Structure: relaxed

POSCAR file:
```
CdCu2Os
1.0
9.1198 0.0048 0.0028
8.7047 2.7201 0.0028
8.7047 1.3308 2.3724
Cu Os Cd
2 1 1
direct
0.9952 0.9952 0.9952 Cu
0.5048 0.5048 0.5048 Cu
0.2500 0.2500 0.2500 Os
0.7500 0.7500 0.7500 Cd
```

Size of the total moment ... 0.0000 μB/atom
SG ... R-3m (166)
Total DFT energy (no corrections) ... -4.820 eV per atom
ΔH_f (0 K) ... 0.2639 eV per atom



# 9
Compound: Cd2CuOs2
Source: Alexandria
Functional: PBE
Structure: relaxed

POSCAR file:
```
Cd2CuOs2
1.0
2.2809 0.4971 4.6703
3.3255 3.4634 -2.0511
-5.1436 0.7705 -0.4594
Cd Cu Os
2 1 2
direct
0.2500 0.7500 0.5000 Cd
0.7500 0.2500 0.5000 Cd
0.0000 0.0000 0.0000 Cu
0.3456 0.3456 0.0000 Os
0.6544 0.6544 0.0000 Os
```

Size of the total moment ... 0.0000 μB/atom
SG ... I4/mmm (139)
Total DFT energy (no corrections) ... -4.528 eV per atom
ΔH_f (0 K) ... 1.1495 eV per atom



# 10
Compound: CdCu2Os
Source: Alexandria
Functional: PBE
Structure: relaxed

POSCAR file:
```
CdCu2Os
1.0
2.8688 0.0000 0.0000
0.0000 4.4718 0.0000
0.0000 0.0000 4.4718
Cd Cu Os
1 2 1
direct
0.5000 0.0000 0.5000 Cd
0.0000 0.0000 0.0000 Cu
0.0000 0.5000 0.5000 Cu
0.5000 0.5000 0.0000 Os
```

Size of the total moment ... 0.0005 μB/atom
SG ... P4/mmm (123)
Total DFT energy (no corrections) ... -4.689 eV per atom
ΔH_f (0 K) ... 0.3951 eV per atom



# 11
Compound: CdCu2Os
Source: Alexandria
Functional: PBE
Structure: relaxed

POSCAR file:
```
CdCu2Os
1.0
-0.8753 -3.1115 3.1640
0.4722 -3.7916 -2.4205
3.0094 3.3617 0.3167
Cu Os Cd
2 1 1
direct
0.5000 0.5000 0.0000 Cu
0.0000 0.0000 0.0000 Cu
0.2500 0.7500 0.5000 Os
0.7500 0.2500 0.5000 Cd
```

Size of the total moment ... 0.0007 μB/atom
SG ... I4/mmm (139)
Total DFT energy (no corrections) ... -4.559 eV per atom
ΔH_f (0 K) ... 0.5253 eV per atom



# 12
Compound: CdCu2Os
Source: Alexandria
Functional: PBE
Structure: relaxed

POSCAR file:
```
CdCu2Os
1.0
4.3838 0.0000 0.0000
2.1919 3.7964 0.0000
2.1919 1.2655 3.5793
Cu Cd Os
2 1 1
direct
0.0000 0.0000 0.0000 Cu
0.2500 0.2500 0.2500 Cu
0.5000 0.5000 0.5000 Cd
0.7500 0.7500 0.7500 Os
```

Size of the total moment ... 0.2484 μB/atom
SG ... F-43m (216)
Total DFT energy (no corrections) ... -4.440 eV per atom
ΔH_f (0 K) ... 0.6443 eV per atom